No. 1
## Tl2POs (GGA-PBEsol)

Data for a relaxed structure of Tl2POs.

Cell lengths 6.7523, 6.7523, 6.7523 Å; angles 153.86, 140.49, 47.99 degrees
Fractional coordinates of all 4 atoms:
Tl: 0.0000 0.0000 0.0000
Tl: 0.6905 0.1905 0.5000
P: 0.3101 0.8101 0.5000
Os: 0.4463 0.4463 0.0000

- excess energy over the best structure of this formula in the dataset (meV/atom) = 0.0
- density (g/cm³) = 12.2
- calculated formation energy (eV/f.u.) = 1.6

No. 2
## ZnFeMo2 (GGA-PBEsol)

Data for a relaxed structure of ZnFeMo2.

Cell lengths 2.6687, 2.6687, 7.5414 Å; angles 90.00, 90.00, 90.00 degrees
Fractional coordinates of all 4 atoms:
Zn: 0.0000 0.0000 0.0000
Fe: 0.0000 0.0000 0.5000
Mo: 0.5000 0.5000 0.2722
Mo: 0.5000 0.5000 0.7278

- density (g/cm³) = 9.7
- calculated formation energy (eV/f.u.) = 0.4

Number 1: DOS at the Fermi energy 2.4 states/eV/f.u.. Number 2: DOS at the Fermi energy 3.1 states/eV/f.u..